(1)
Computed, not measured: an optimized crystal structure of MgInRh2 at the PBE level of DFT.

Calculated values
- crystal system = tetragonal
- energy of formation from the pure elements (eV/atom) = 0.034
- space group = I-42d, No. 122
- Fermi-level density of states (states/eV per cell) = 7.6
- calculated density (g cm⁻³) = 7.99

Unit cell a=7.0311 b=7.0311 c=5.7564 alpha=52.36 beta=52.36 gamma=90.00
Element x y z (fractional)
Mg  0.5000  0.5000  0.0000
Mg  0.2500  0.7500  0.5000
Rh  0.6185  0.1250  0.2500
Rh  0.1315  0.6250  0.2500
Rh  0.3750  0.3815  0.7500
Rh  0.8750  0.8685  0.7500
In  0.0000  0.0000  0.0000
In  0.7500  0.2500  0.5000

(2)
Computed, not measured: an optimized crystal structure of MgIn4Rh at the PBE level of DFT.

Calculated values
- crystal system = cubic
- energy of formation from the pure elements (eV/atom) = 0.346
- space group = F-43m, No. 216
- Fermi-level density of states (states/eV per cell) = 4.4
- calculated density (g cm⁻³) = 6.93

Unit cell a=5.8363 b=5.8363 c=5.8363 alpha=60.00 beta=60.00 gamma=60.00
Element x y z (fractional)
Mg  0.7500  0.7500  0.7500
In  0.8763  0.3746  0.3746
In  0.3746  0.3746  0.8763
In  0.3746  0.8763  0.3746
In  0.3746  0.3746  0.3746
Rh  0.0000  0.0000  0.0000

(3)
Computed, not measured: an optimized crystal structure of Mg3InRh2 at the PBE level of DFT.

Calculated values
- crystal system = orthorhombic
- energy of formation from the pure elements (eV/atom) = -0.361
- space group = Cmmm, No. 65
- Fermi-level density of states (states/eV per cell) = 3.5
- calculated density (g cm⁻³) = 6.26

Unit cell a=4.5511 b=3.3012 c=7.3063 alpha=90.00 beta=108.15 gamma=90.00
Element x y z (fractional)
Mg  0.3155  0.0000  0.6310
Mg  0.6845  0.0000  0.3690
Mg  0.5000  0.5000  0.0000
In  0.0000  0.0000  0.0000
Rh  0.1559  0.5000  0.3119
Rh  0.8441  0.5000  0.6881

(4)
Computed, not measured: an optimized crystal structure of Mg3In3RuRh2 at the PBE level of DFT.

Calculated values
- crystal system = hexagonal
- energy of formation from the pure elements (eV/atom) = -0.260
- space group = P-62m, No. 189
- Fermi-level density of states (states/eV per cell) = 4.2
- calculated density (g cm⁻³) = 7.31

Unit cell a=3.2110 b=7.6925 c=7.6925 alpha=120.00 beta=90.00 gamma=90.00
Element x y z (fractional)
Mg  0.0000  0.6158  0.6158
Mg  0.0000  0.0000  0.3842
Mg  0.0000  0.3842  0.0000
In  0.5000  0.7130  0.0000
In  0.5000  0.0000  0.7130
In  0.5000  0.2870  0.2870
Ru  0.0000  0.0000  0.0000
Rh  0.5000  0.6667  0.3333
Rh  0.5000  0.3333  0.6667

(5)
Computed, not measured: an optimized crystal structure of MgIn2Si2Rh5 at the PBE level of DFT.

Calculated values
- formation energy (no corrections) (meV/atom) = -514
- crystal system = tetragonal
- space group = P4/mbm, No. 127
- Fermi-level density of states (states/eV per cell) = 6.7
- calculated density (g cm⁻³) = 8.68

Unit cell a=3.3530 b=9.6983 c=9.6983 alpha=90.00 beta=90.00 gamma=90.00
Element x y z (fractional)
Mg  0.0000  0.0000  0.0000
Mg  0.0000  0.5000  0.5000
In  0.0000  0.6732  0.1732
In  0.0000  0.3268  0.8268
In  0.0000  0.1732  0.3268
In  0.0000  0.8268  0.6732
Si  0.0000  0.1282  0.6282
Si  0.0000  0.8718  0.3718
Si  0.0000  0.6282  0.8718
Si  0.0000  0.3718  0.1282
Rh  0.5000  0.2094  0.0766
Rh  0.5000  0.7906  0.9234
Rh  0.5000  0.0766  0.7906
Rh  0.5000  0.7094  0.4234
Rh  0.5000  0.9234  0.2094
Rh  0.5000  0.2906  0.5766
Rh  0.5000  0.5766  0.7094
Rh  0.5000  0.4234  0.2906
Rh  0.5000  0.5000  0.0000
Rh  0.5000  0.0000  0.5000

(6)
Computed, not measured: an optimized crystal structure of Sm2MgIn2Rh5 at the PBE level of DFT.

Calculated values
- crystal system = tetragonal
- energy of formation from the pure elements (eV/atom) = -0.420
- space group = P4/mbm, No. 127
- Fermi-level density of states (states/eV per cell) = 10.0
- calculated density (g cm⁻³) = 9.16

Unit cell a=3.6657 b=10.2815 c=10.2815 alpha=90.00 beta=90.00 gamma=90.00
Element x y z (fractional)
Sm  0.0000  0.6689  0.1689
Sm  0.0000  0.3311  0.8311
Sm  0.0000  0.1689  0.3311
Sm  0.0000  0.8311  0.6689
Mg  0.0000  0.0000  0.0000
Mg  0.0000  0.5000  0.5000
In  0.0000  0.1306  0.6306
In  0.0000  0.8694  0.3694
In  0.0000  0.6306  0.8694
In  0.0000  0.3694  0.1306
Rh  0.5000  0.1970  0.0531
Rh  0.5000  0.8030  0.9469
Rh  0.5000  0.0531  0.8030
Rh  0.5000  0.6970  0.4469
Rh  0.5000  0.9469  0.1970
Rh  0.5000  0.3030  0.5531
Rh  0.5000  0.5531  0.6970
Rh  0.5000  0.4469  0.3030
Rh  0.5000  0.5000  0.0000
Rh  0.5000  0.0000  0.5000

Copy entry 3 word for word.
Computed, not measured: an optimized crystal structure of Mg3InRh2 at the PBE level of DFT.

Calculated values
- crystal system = orthorhombic
- energy of formation from the pure elements (eV/atom) = -0.361
- space group = Cmmm, No. 65
- Fermi-level density of states (states/eV per cell) = 3.5
- calculated density (g cm⁻³) = 6.26

Unit cell a=4.5511 b=3.3012 c=7.3063 alpha=90.00 beta=108.15 gamma=90.00
Element x y z (fractional)
Mg  0.3155  0.0000  0.6310
Mg  0.6845  0.0000  0.3690
Mg  0.5000  0.5000  0.0000
In  0.0000  0.0000  0.0000
Rh  0.1559  0.5000  0.3119
Rh  0.8441  0.5000  0.6881

Which of these has the lowest Fermi-level density of states? Mg3InRh2